A relaxed structure of PuThOs2. Source: the Alexandria database, functional PBE.

The formation energy is -0.004 eV per atom. As for the total energy: -11.056 eV/atom. As for the energy relative to the lowest polymorph listed for this composition: 58 meV/atom. Its space-group type is Fm-3m, No. 225. Its crystal system is cubic. The calculated density comes out at 16.8 g/cm3.

Unit cell a=4.9239 b=4.9239 c=4.9239 alpha=60.00 beta=60.00 gamma=60.00
With the nearest neighbours (Å) after each atom.
Fractional coordinates of all 4 atoms:
1 Pu 0.0000 0.0000 0.0000  8 Os 3.02
2 Th 0.5000 0.5000 0.5000  8 Os 3.02
3 Os 0.2500 0.2500 0.2500  4 Th 3.02, 4 Pu 3.02
4 Os 0.7500 0.7500 0.7500  4 Pu 3.02, 4 Th 3.02